{"formula": "YSc2Au", "functional": "PBE", "state": "optimized geometry", "cell": [[4.6358, 0.0000, 0.0000], [0.0000, 4.4581, 0.0000], [0.0000, 0.0000, 4.4581]], "species": ["Sc", "Sc", "Y", "Au"], "frac_coords": [[0.0000, 0.5000, 0.5000], [0.0000, 0.0000, 0.0000], [0.5000, 0.5000, 0.0000], [0.5000, 0.0000, 0.5000]], "spacegroup": "P4/mmm (123)", "e_form_ev_per_atom": -0.298, "mass_density_kg_m3": 6773, "de_polymorph_mev_per_atom": 123, "magnetic_moment_mub_per_fu": 0.1, "e_tot_ev_per_atom": -5.899}